Entry from Alexandria via LeMat-Bulk: an optimized crystal structure of Ta2Sn2I (PBE-GGA).

Calculated values
**Space group**: No. 127
**Energy relative to the elements, uncorrected**: 1.95 eV/f.u.
**N(E_F)**: 0.834 states/eV/atom
**Energy above the lowest structure with this stoichiometry**: 0.0 meV per atom

POSCAR file:
```
Ta2Sn2I
1.0
8.2412 0.0000 0.0000
0.0000 8.2412 0.0000
0.0000 0.0000 3.4138
Ta Sn I
4 4 2
direct
0.1164 0.3836 0.0000
0.3836 0.8836 0.0000
0.6164 0.1164 0.0000
0.8836 0.6164 0.0000
0.1701 0.6701 0.5000
0.3299 0.1701 0.5000
0.6701 0.8299 0.5000
0.8299 0.3299 0.5000
0.0000 0.0000 0.0000
0.5000 0.5000 0.0000
```

Entry from Alexandria via LeMat-Bulk: an optimized crystal structure of Ta2TlSnI (PBE-GGA).

Calculated values
**Space group**: No. 123
**Energy relative to the elements, uncorrected**: 9.26 eV/f.u.
**N(E_F)**: 1.367 states/eV/atom

POSCAR file:
```
Ta2TlSnI
1.0
5.1048 0.0000 0.0000
0.0000 5.1048 0.0000
0.0000 0.0000 5.9203
Ta Tl Sn I
2 1 1 1
direct
0.0000 0.5000 0.0000
0.5000 0.0000 0.0000
0.0000 0.0000 0.5000
0.5000 0.5000 0.5000
0.5000 0.5000 0.0000
```

Entry from Alexandria via LeMat-Bulk: an optimized crystal structure of Tb7SnI12 (PBE-GGA).

Calculated values
**Space group**: No. 148
**Energy relative to the elements, uncorrected**: -23.91 eV/f.u.
**N(E_F)**: 0.511 states/eV/atom

POSCAR file:
```
Tb7SnI12
1.0
7.9526 4.5915 3.4915
-7.9526 4.5915 3.4915
0.0000 -9.1829 3.4915
Tb Sn I
7 1 12
direct
0.0000 0.0000 0.0000
0.1727 0.4614 0.3903
0.3903 0.1727 0.4614
0.4614 0.3903 0.1727
0.5386 0.6097 0.8273
0.6097 0.8273 0.5386
0.8273 0.5386 0.6097
0.5000 0.5000 0.5000
0.0297 0.1086 0.3437
0.1086 0.3437 0.0297
0.1892 0.5783 0.7305
0.2695 0.8108 0.4217
0.3437 0.0297 0.1086
0.4217 0.2695 0.8108
0.5783 0.7305 0.1892
0.6563 0.9703 0.8914
0.7305 0.1892 0.5783
0.8108 0.4217 0.2695
0.8914 0.6563 0.9703
0.9703 0.8914 0.6563
```